Below is crystalline Na3Tl4Hg4 at its relaxed geometry, with properties calculated at the GGA-PBE level.

The structure belongs to space group Immm (No. 71); the cell edges are 3.4655, 5.1669 and 34.5922 Å and the angles 90.00°, 90.00° and 90.00°. The distinct sites, in fractional coordinates, are Na at (0.0000, 0.0000, 0.0000), Na at (0.0000, 0.5000, 0.1342), Tl at (0.0000, 0.0000, 0.2724), Tl at (0.0000, 0.5000, 0.4111), Hg at (0.0000, 0.0000, 0.4570) and Hg at (0.0000, 0.5000, 0.3226).

The calculation puts the mass density at 9.06 Mg/m³. The calculation puts the total magnetization at 0.0 μB/f.u. The calculation puts the final energy at -32.18 eV for the cell shown. The energy of formation from the pure elements is -0.13 eV/atom. The excess energy over the best structure of this formula in the dataset is 0 meV per atom.